## 1
This record from Alexandria via LeMat-Bulk describes crystalline SmTlHg4 at its relaxed geometry. The functional is PBE. Values from VASP.

Space group ... Cmcm, No. 63

Cell and atoms, written as Quantum ESPRESSO input:
```
&SYSTEM
  ibrav = 0, nat = 12, ntyp = 3
/
ATOMIC_SPECIES
Sm 150.36 Sm.upf
Tl 204.38 Tl.upf
Hg 200.59 Hg.upf
ATOMIC_POSITIONS crystal
Sm 0.125 0.875 0.750
Sm 0.875 0.125 0.250
Tl 0.382 0.618 0.250
Tl 0.618 0.382 0.750
Hg 0.031 0.451 0.750
Hg 0.192 0.277 0.750
Hg 0.277 0.192 0.250
Hg 0.451 0.031 0.250
Hg 0.549 0.969 0.750
Hg 0.723 0.808 0.750
Hg 0.808 0.723 0.250
Hg 0.969 0.549 0.250
CELL_PARAMETERS angstrom
3.343 -9.007 0.000
3.343 9.007 0.000
0.000 0.000 5.126
```

---

## 2
This record from Alexandria via LeMat-Bulk describes crystalline SmTlHg4 at its relaxed geometry. The functional is PBE. Values from VASP.

Space group ... F-43m, No. 216

Cell and atoms, written as Quantum ESPRESSO input:
```
&SYSTEM
  ibrav = 0, nat = 6, ntyp = 3
/
ATOMIC_SPECIES
Sm 150.36 Sm.upf
Tl 204.38 Tl.upf
Hg 200.59 Hg.upf
ATOMIC_POSITIONS crystal
Sm 0.000 0.000 0.000
Tl 0.750 0.750 0.750
Hg 0.375 0.375 0.375
Hg 0.375 0.375 0.876
Hg 0.375 0.876 0.375
Hg 0.876 0.375 0.375
CELL_PARAMETERS angstrom
0.000 4.292 4.292
4.292 0.000 4.292
4.292 4.292 0.000
```

---

The structure with the most favorable energy is 1; the runner-up is 0.137 eV/atom above it.

---

## 1
This record from Alexandria via LeMat-Bulk describes crystalline Sm2TlHg4 at its relaxed geometry. The functional is PBE. Values from VASP.

Space group ... I4/mmm, No. 139

Cell and atoms, written as Quantum ESPRESSO input:
```
&SYSTEM
  ibrav = 0, nat = 7, ntyp = 3
/
ATOMIC_SPECIES
Sm 150.36 Sm.upf
Tl 204.38 Tl.upf
Hg 200.59 Hg.upf
ATOMIC_POSITIONS crystal
Sm 0.144 0.144 0.000
Sm 0.856 0.856 0.000
Tl 0.500 0.500 0.000
Hg 0.000 0.500 0.500
Hg 0.250 0.750 0.500
Hg 0.500 0.000 0.500
Hg 0.750 0.250 0.500
CELL_PARAMETERS angstrom
-2.906 2.906 6.141
2.906 -2.906 6.141
2.906 2.906 -6.141
```

---

## 2
This record from Alexandria via LeMat-Bulk describes crystalline Sm2TlHg4 at its relaxed geometry. The functional is PBE. Values from VASP.

Space group ... R-3m, No. 166

Cell and atoms, written as Quantum ESPRESSO input:
```
&SYSTEM
  ibrav = 0, nat = 7, ntyp = 3
/
ATOMIC_SPECIES
Sm 150.36 Sm.upf
Tl 204.38 Tl.upf
Hg 200.59 Hg.upf
ATOMIC_POSITIONS crystal
Sm 0.224 0.224 0.224
Sm 0.776 0.776 0.776
Tl 0.500 0.500 0.500
Hg 0.075 0.075 0.075
Hg 0.363 0.363 0.363
Hg 0.637 0.637 0.637
Hg 0.925 0.925 0.925
CELL_PARAMETERS angstrom
2.657 1.534 7.577
-2.657 1.534 7.577
0.000 -3.068 7.577
```

---

The structure with the most favorable energy is 2; the runner-up is 0.175 eV/atom above it.

---

## 1
This record from Alexandria via LeMat-Bulk describes crystalline Sm2TmHg4 at its relaxed geometry. The functional is PBE. Values from VASP.

Space group ... R-3m, No. 166

Cell and atoms, written as Quantum ESPRESSO input:
```
&SYSTEM
  ibrav = 0, nat = 7, ntyp = 3
/
ATOMIC_SPECIES
Sm 150.36 Sm.upf
Tm 168.93 Tm.upf
Hg 200.59 Hg.upf
ATOMIC_POSITIONS crystal
Sm 0.245 0.245 0.245
Sm 0.755 0.755 0.755
Tm 0.000 0.000 0.000
Hg 0.127 0.127 0.127
Hg 0.371 0.371 0.371
Hg 0.629 0.629 0.629
Hg 0.873 0.873 0.873
CELL_PARAMETERS angstrom
2.553 1.474 8.868
-2.553 1.474 8.868
0.000 -2.948 8.868
```

---

## 2
This record from Alexandria via LeMat-Bulk describes crystalline Sm2TmHg4 at its relaxed geometry. The functional is PBE. Values from VASP.

Space group ... I4/mmm, No. 139

Cell and atoms, written as Quantum ESPRESSO input:
```
&SYSTEM
  ibrav = 0, nat = 7, ntyp = 3
/
ATOMIC_SPECIES
Sm 150.36 Sm.upf
Tm 168.93 Tm.upf
Hg 200.59 Hg.upf
ATOMIC_POSITIONS crystal
Sm 0.106 0.106 0.000
Sm 0.894 0.894 0.000
Tm 0.500 0.500 0.000
Hg 0.000 0.500 0.500
Hg 0.307 0.307 0.000
Hg 0.500 0.000 0.500
Hg 0.693 0.693 0.000
CELL_PARAMETERS angstrom
-2.790 2.790 7.744
2.790 -2.790 7.744
2.790 2.790 -7.744
```

---

The structure with the most favorable energy is 1; the runner-up is 0.320 eV/atom above it.

---

## 1
This record from Alexandria via LeMat-Bulk describes crystalline Sm4TmHg at its relaxed geometry. The functional is PBE. Values from VASP.

Space group ... P4/mmm, No. 123

Cell and atoms, written as Quantum ESPRESSO input:
```
&SYSTEM
  ibrav = 0, nat = 6, ntyp = 3
/
ATOMIC_SPECIES
Sm 150.36 Sm.upf
Tm 168.93 Tm.upf
Hg 200.59 Hg.upf
ATOMIC_POSITIONS crystal
Sm 0.000 0.000 0.145
Sm 0.000 0.000 0.855
Sm 0.500 0.500 0.325
Sm 0.500 0.500 0.675
Tm 0.000 0.000 0.500
Hg 0.500 0.500 0.000
CELL_PARAMETERS angstrom
3.639 0.000 0.000
0.000 3.639 0.000
0.000 0.000 14.070
```

---

## 2
This record from Alexandria via LeMat-Bulk describes crystalline Sm4TmHg at its relaxed geometry. The functional is PBE. Values from VASP.

Space group ... C2/c, No. 15

Cell and atoms, written as Quantum ESPRESSO input:
```
&SYSTEM
  ibrav = 0, nat = 12, ntyp = 3
/
ATOMIC_SPECIES
Sm 150.36 Sm.upf
Tm 168.93 Tm.upf
Hg 200.59 Hg.upf
ATOMIC_POSITIONS crystal
Sm 0.090 0.711 0.953
Sm 0.168 0.400 0.624
Sm 0.289 0.910 0.547
Sm 0.400 0.168 0.124
Sm 0.600 0.832 0.876
Sm 0.711 0.090 0.453
Sm 0.832 0.600 0.376
Sm 0.910 0.289 0.047
Tm 0.407 0.593 0.250
Tm 0.593 0.407 0.750
Hg 0.001 0.999 0.250
Hg 0.999 0.001 0.750
CELL_PARAMETERS angstrom
4.430 -7.042 0.000
4.430 7.042 0.000
-2.101 0.000 6.073
```

---

The structure with the most favorable energy is 1; the runner-up is 0.097 eV/atom above it.

---

## 1
This record from Alexandria via LeMat-Bulk describes crystalline SmTmHg at its relaxed geometry. The functional is PBE. Values from VASP.

Space group ... F-43m, No. 216

Cell and atoms, written as Quantum ESPRESSO input:
```
&SYSTEM
  ibrav = 0, nat = 3, ntyp = 3
/
ATOMIC_SPECIES
Sm 150.36 Sm.upf
Tm 168.93 Tm.upf
Hg 200.59 Hg.upf
ATOMIC_POSITIONS crystal
Sm 0.000 0.000 0.000
Tm 0.500 0.500 0.500
Hg 0.750 0.750 0.750
CELL_PARAMETERS angstrom
0.000 3.620 3.620
3.620 0.000 3.620
3.620 3.620 0.000
```

---

## 2
This record from Alexandria via LeMat-Bulk describes crystalline SmTmHg at its relaxed geometry. The functional is PBE. Values from VASP.

Space group ... I4mm, No. 107

Cell and atoms, written as Quantum ESPRESSO input:
```
&SYSTEM
  ibrav = 0, nat = 3, ntyp = 3
/
ATOMIC_SPECIES
Sm 150.36 Sm.upf
Tm 168.93 Tm.upf
Hg 200.59 Hg.upf
ATOMIC_POSITIONS crystal
Sm 0.000 0.000 0.000
Tm 0.308 0.308 0.000
Hg 0.666 0.666 0.000
CELL_PARAMETERS angstrom
-1.813 1.813 6.437
1.813 -1.813 6.437
1.813 1.813 -6.437
```

---

## 3
This record from Alexandria via LeMat-Bulk describes crystalline SmTmHg at its relaxed geometry. The functional is PBE. Values from VASP.

Space group ... P2_1/m, No. 11

Cell and atoms, written as Quantum ESPRESSO input:
```
&SYSTEM
  ibrav = 0, nat = 18, ntyp = 3
/
ATOMIC_SPECIES
Sm 150.36 Sm.upf
Tm 168.93 Tm.upf
Hg 200.59 Hg.upf
ATOMIC_POSITIONS crystal
Sm 0.009 0.250 0.210
Sm 0.367 0.750 0.582
Sm 0.474 0.750 0.872
Sm 0.526 0.250 0.128
Sm 0.633 0.250 0.418
Sm 0.991 0.750 0.790
Tm 0.026 0.250 0.585
Tm 0.156 0.250 0.958
Tm 0.347 0.750 0.283
Tm 0.653 0.250 0.717
Tm 0.844 0.750 0.042
Tm 0.974 0.750 0.415
Hg 0.231 0.250 0.405
Hg 0.249 0.750 0.073
Hg 0.269 0.250 0.750
Hg 0.731 0.750 0.250
Hg 0.751 0.250 0.927
Hg 0.769 0.750 0.595
CELL_PARAMETERS angstrom
7.526 0.000 0.000
0.000 4.920 0.000
-0.063 0.000 13.965
```

---

## 4
This record from Alexandria via LeMat-Bulk describes crystalline SmTmHg at its relaxed geometry. The functional is PBE. Values from VASP.

Space group ... P3m1, No. 156

Cell and atoms, written as Quantum ESPRESSO input:
```
&SYSTEM
  ibrav = 0, nat = 3, ntyp = 3
/
ATOMIC_SPECIES
Sm 150.36 Sm.upf
Tm 168.93 Tm.upf
Hg 200.59 Hg.upf
ATOMIC_POSITIONS crystal
Sm 0.000 0.000 0.000
Tm 0.333 0.667 0.525
Hg 0.667 0.333 0.392
CELL_PARAMETERS angstrom
5.124 0.000 0.000
-2.562 4.437 0.000
0.000 0.000 3.799
```

---

The structure with the most favorable energy is 3; the runner-up is 0.021 eV/atom above it.